A plane-wave DFT calculation with PBE was carried out for a relaxed TbNd7Dy3 crystal.

```
data_TbNd7Dy3
_chemical_formula_sum 'Tb2 Nd14 Dy6'
_symmetry_space_group_name_H-M 'P -1'
_symmetry_Int_Tables_number 2
_cell_length_a 7.228
_cell_length_b 10.297
_cell_length_c 12.567
_cell_angle_alpha 66.03
_cell_angle_beta 73.39
_cell_angle_gamma 69.51
loop_
_symmetry_equiv_pos_as_xyz
'x,y,z'
'-x,-y,-z'
loop_
_atom_site_label
_atom_site_fract_x
_atom_site_fract_y
_atom_site_fract_z
Tb1 0.000 0.000 0.000
Tb2 0.000 0.500 0.500
Nd1 0.080 0.307 0.028
Nd2 0.080 0.807 0.529
Nd3 0.223 0.750 0.250
Nd4 0.335 0.544 0.774
Nd5 0.345 0.045 0.274
Nd6 0.415 0.194 0.473
Nd7 0.416 0.693 0.971
Dy1 0.168 0.936 0.725
Dy2 0.172 0.436 0.225
Dy3 0.500 0.000 0.000
Dy4 0.500 0.500 0.500
```

Results
Raw total energy (eV/atom): -4.529
Formation enthalpy at 0 K (meV per atom): 181
Theoretical density (g/cm3): 6.97
Polymorph energy (0 for the lowest one) (eV/atom): 0.000

A plane-wave DFT calculation with PBE was carried out for a relaxed Tb10Nd4Dy crystal.

```
data_Tb10Nd4Dy
_chemical_formula_sum 'Tb20 Nd8 Dy2'
_symmetry_space_group_name_H-M 'I 4/m'
_symmetry_Int_Tables_number 87
_symmetry_space_group_name_Hall '-I 4'
_cell_length_a 12.261
_cell_length_b 12.261
_cell_length_c 7.766
_cell_angle_alpha 90.00
_cell_angle_beta 90.00
_cell_angle_gamma 90.00
loop_
_atom_site_label
_atom_site_fract_x
_atom_site_fract_y
_atom_site_fract_z
Tb1 0.000 0.500 0.250
Tb2 0.099 0.801 0.248
Nd1 0.101 0.299 0.500
Dy1 0.000 0.000 0.000
```

Results
Raw total energy (eV/atom): -3.915
Formation enthalpy at 0 K (meV per atom): 750
Theoretical density (g/cm3): 6.62

A plane-wave DFT calculation with PBE was carried out for a relaxed TbNd5Dy8 crystal.

```
data_TbNd5Dy8
_chemical_formula_sum 'Tb2 Nd10 Dy16'
_symmetry_space_group_name_H-M 'C 1 2/m 1'
_symmetry_Int_Tables_number 12
_cell_length_a 17.409
_cell_length_b 3.555
_cell_length_c 16.901
_cell_angle_alpha 90.00
_cell_angle_beta 118.21
_cell_angle_gamma 90.00
loop_
_symmetry_equiv_pos_as_xyz
'x,y,z'
'-x,-y,-z'
'-x,y,-z'
'x,-y,z'
'x+1/2,y+1/2,z'
'-x+1/2,-y+1/2,-z'
'-x+1/2,y+1/2,-z'
'x+1/2,-y+1/2,z'
loop_
_atom_site_label
_atom_site_fract_x
_atom_site_fract_y
_atom_site_fract_z
Tb1 0.000 0.000 0.000
Nd1 0.000 0.500 0.500
Nd2 0.145 0.000 0.440
Nd3 0.213 0.000 0.143
Dy1 0.078 0.500 0.221
Dy2 0.082 0.000 0.724
Dy3 0.146 0.500 0.941
Dy4 0.217 0.500 0.646
```

Results
Raw total energy (eV/atom): -4.617
Formation enthalpy at 0 K (meV per atom): 46
Theoretical density (g/cm3): 7.85

A plane-wave DFT calculation with PBE was carried out for a relaxed TbNd4Dy6 crystal.

```
data_TbNd4Dy6
_chemical_formula_sum 'Tb2 Nd8 Dy12'
_symmetry_space_group_name_H-M 'I -4 2 m'
_symmetry_Int_Tables_number 121
_symmetry_space_group_name_Hall 'I -4 2'
_cell_length_a 6.673
_cell_length_b 6.673
_cell_length_c 17.026
_cell_angle_alpha 90.00
_cell_angle_beta 90.00
_cell_angle_gamma 90.00
loop_
_atom_site_label
_atom_site_fract_x
_atom_site_fract_y
_atom_site_fract_z
Tb1 0.000 0.000 0.000
Nd1 0.190 0.190 0.824
Dy1 0.000 0.500 0.000
Dy2 0.178 0.178 0.624
```

Results
Raw total energy (eV/atom): -4.368
Formation enthalpy at 0 K (meV per atom): 297
Theoretical density (g/cm3): 7.49
Polymorph energy (0 for the lowest one) (eV/atom): 0.000

A plane-wave DFT calculation with PBE was carried out for a relaxed TbNd2Dy4 crystal.

```
data_TbNd2Dy4
_chemical_formula_sum 'Tb2 Nd4 Dy8'
_symmetry_space_group_name_H-M 'I 4/m m m'
_symmetry_Int_Tables_number 139
_symmetry_space_group_name_Hall '-I 4 2'
_cell_length_a 5.536
_cell_length_b 5.536
_cell_length_c 17.180
_cell_angle_alpha 90.00
_cell_angle_beta 90.00
_cell_angle_gamma 90.00
loop_
_atom_site_label
_atom_site_fract_x
_atom_site_fract_y
_atom_site_fract_z
Tb1 0.000 0.000 0.000
Nd1 0.000 0.000 0.377
Dy1 0.000 0.000 0.176
Dy2 0.000 0.500 0.000
```

Results
Raw total energy (eV/atom): -4.002
Formation enthalpy at 0 K (meV per atom): 652
Theoretical density (g/cm3): 6.92
Polymorph energy (0 for the lowest one) (eV/atom): 0.600

A plane-wave DFT calculation with PBE was carried out for a relaxed Tb3NdDy7 crystal.

```
data_Tb3NdDy7
_chemical_formula_sum 'Tb6 Nd2 Dy14'
_symmetry_space_group_name_H-M 'I m m m'
_symmetry_Int_Tables_number 71
_symmetry_space_group_name_Hall '-I 2 2'
_cell_length_a 5.808
_cell_length_b 11.146
_cell_length_c 11.222
_cell_angle_alpha 90.00
_cell_angle_beta 90.00
_cell_angle_gamma 90.00
loop_
_atom_site_label
_atom_site_fract_x
_atom_site_fract_y
_atom_site_fract_z
Tb1 0.000 0.000 0.000
Tb2 0.000 0.500 0.293
Nd1 0.000 0.000 0.500
Dy1 0.000 0.208 0.195
Dy2 0.000 0.294 0.500
Dy3 0.000 0.500 0.000
```

Results
Raw total energy (eV/atom): -4.372
Formation enthalpy at 0 K (meV per atom): 253
Theoretical density (g/cm3): 8.04
Polymorph energy (0 for the lowest one) (eV/atom): 0.062

Please write out number 3 again, unchanged.
A plane-wave DFT calculation with PBE was carried out for a relaxed TbNd5Dy8 crystal.

```
data_TbNd5Dy8
_chemical_formula_sum 'Tb2 Nd10 Dy16'
_symmetry_space_group_name_H-M 'C 1 2/m 1'
_symmetry_Int_Tables_number 12
_cell_length_a 17.409
_cell_length_b 3.555
_cell_length_c 16.901
_cell_angle_alpha 90.00
_cell_angle_beta 118.21
_cell_angle_gamma 90.00
loop_
_symmetry_equiv_pos_as_xyz
'x,y,z'
'-x,-y,-z'
'-x,y,-z'
'x,-y,z'
'x+1/2,y+1/2,z'
'-x+1/2,-y+1/2,-z'
'-x+1/2,y+1/2,-z'
'x+1/2,-y+1/2,z'
loop_
_atom_site_label
_atom_site_fract_x
_atom_site_fract_y
_atom_site_fract_z
Tb1 0.000 0.000 0.000
Nd1 0.000 0.500 0.500
Nd2 0.145 0.000 0.440
Nd3 0.213 0.000 0.143
Dy1 0.078 0.500 0.221
Dy2 0.082 0.000 0.724
Dy3 0.146 0.500 0.941
Dy4 0.217 0.500 0.646
```

Results
Raw total energy (eV/atom): -4.617
Formation enthalpy at 0 K (meV per atom): 46
Theoretical density (g/cm3): 7.85